A plane-wave DFT calculation with GGA-PBE was carried out for a relaxed Li2NbOs crystal.

## Properties
ΔE_f ... 374 meV/atom
Energy above the most stable polymorph in this dataset ... 0.00 eV/f.u.
D(E_F) ... 5.278 states/eV/cell
SG ... I-42d (122)

Geometry as POSCAR:
```
Li2NbOs
1.0
-1.8121 1.8121 10.1196
1.8121 -1.8121 10.1196
1.8121 1.8121 -10.1196
Li Nb Os
4 2 2
direct
0.1010 0.6250 0.9760 Li
0.3750 0.3510 0.4760 Li
0.6490 0.1250 0.0240 Li
0.8750 0.8990 0.5240 Li
0.2500 0.7500 0.5000 Nb
0.5000 0.5000 0.0000 Nb
0.0000 0.0000 0.0000 Os
0.7500 0.2500 0.5000 Os
```

---

A plane-wave DFT calculation with GGA-PBE was carried out for a relaxed SrGaFe2 crystal.

## Properties
ΔE_f ... 350 meV/atom
D(E_F) ... 6.599 states/eV/cell
SG ... I4_1/amd (141)

Geometry as POSCAR:
```
SrGaFe2
1.0
-2.3024 2.3024 8.7355
2.3024 -2.3024 8.7355
2.3024 2.3024 -8.7355
Sr Ga Fe
2 2 4
direct
0.3750 0.6250 0.7500 Sr
0.6250 0.3750 0.2500 Sr
0.1250 0.8750 0.2500 Ga
0.8750 0.1250 0.7500 Ga
0.0000 0.0000 0.0000 Fe
0.0000 0.0000 0.5000 Fe
0.0000 0.5000 0.0000 Fe
0.5000 0.0000 0.5000 Fe
```

---

A plane-wave DFT calculation with GGA-PBE was carried out for a relaxed NdAlCu3 crystal.

## Properties
ΔE_f ... -200 meV/atom
Energy above the most stable polymorph in this dataset ... 0.00 eV/f.u.
D(E_F) ... 5.488 states/eV/cell
SG ... Imma (74)

Geometry as POSCAR:
```
NdAlCu3
1.0
-2.5268 4.3203 4.2015
2.5268 -4.3203 4.2015
2.5268 4.3203 -4.2015
Nd Al Cu
2 2 6
direct
0.2960 0.0460 0.2500 Nd
0.7040 0.9540 0.7500 Nd
0.0000 0.5000 0.5000 Al
0.5000 0.5000 0.0000 Al
0.0842 0.3342 0.7500 Cu
0.2343 0.0000 0.7343 Cu
0.2343 0.5000 0.2343 Cu
0.7657 0.0000 0.2657 Cu
0.7657 0.5000 0.7657 Cu
0.9158 0.6658 0.2500 Cu
```

---

A plane-wave DFT calculation with GGA-PBE was carried out for a relaxed RbCu2PdF8 crystal.

## Properties
Raw formation energy ... -1.554 eV per atom
D(E_F) ... 9.916 states/eV/cell
SG ... R-3m (166)

Geometry as POSCAR:
```
RbCu2PdF8
1.0
2.9094 1.6797 8.1991
-2.9094 1.6797 8.1991
0.0000 -3.3594 8.1991
Rb Cu Pd F
1 2 1 8
direct
0.0000 0.0000 0.0000 Rb
0.2481 0.2481 0.2481 Cu
0.7519 0.7519 0.7519 Cu
0.5000 0.5000 0.5000 Pd
0.1317 0.6096 0.6096 F
0.3222 0.3222 0.3222 F
0.3904 0.3904 0.8683 F
0.3904 0.8683 0.3904 F
0.6096 0.1317 0.6096 F
0.6096 0.6096 0.1317 F
0.6778 0.6778 0.6778 F
0.8683 0.3904 0.3904 F
```

---

A plane-wave DFT calculation with GGA-PBE was carried out for a relaxed Li2TbInCl6 crystal.

## Properties
Raw formation energy ... -1.778 eV per atom
D(E_F) ... 0.000 states/eV/cell
SG ... R3 (146)

Geometry as POSCAR:
```
Li2TbInCl6
1.0
3.4628 1.9992 6.2914
-3.4628 1.9992 6.2914
0.0000 -3.9984 6.2914
Li Tb In Cl
2 1 1 6
direct
0.0000 0.0000 0.0000 Li
0.4914 0.4914 0.4914 Li
0.6942 0.6942 0.6942 Tb
0.2158 0.2158 0.2158 In
0.1058 0.4209 0.7518 Cl
0.2776 0.8380 0.6851 Cl
0.4209 0.7518 0.1058 Cl
0.6851 0.2776 0.8380 Cl
0.7518 0.1058 0.4209 Cl
0.8380 0.6851 0.2776 Cl
```

---

A plane-wave DFT calculation with GGA-PBE was carried out for a relaxed SiBrO2 crystal.

## Properties
Raw formation energy ... 0.802 eV per atom
Energy above the most stable polymorph in this dataset ... 9.98 eV/f.u.
D(E_F) ... 2.630 states/eV/cell
SG ... Fm-3m (225)

Geometry as POSCAR:
```
SiBrO2
1.0
0.0000 2.9214 2.9214
2.9214 0.0000 2.9214
2.9214 2.9214 0.0000
Si Br O
1 1 2
direct
0.0000 0.0000 0.0000 Si
0.5000 0.5000 0.5000 Br
0.2500 0.2500 0.2500 O
0.7500 0.7500 0.7500 O
```

---

A plane-wave DFT calculation with GGA-PBE was carried out for a relaxed La2Pr7 crystal.

## Properties
ΔE_f ... 40 meV/atom
Energy above the most stable polymorph in this dataset ... 0.27 eV/f.u.
D(E_F) ... 14.779 states/eV/cell
SG ... P-62m (189)

Geometry as POSCAR:
```
La2Pr7
1.0
10.2008 0.0000 0.0000
-5.1004 8.8341 0.0000
0.0000 0.0000 3.6471
La Pr
2 7
direct
0.3333 0.6667 0.0000 La
0.6667 0.3333 0.0000 La
0.0000 0.0000 0.5000 Pr
0.0000 0.3482 0.5000 Pr
0.0000 0.6867 0.0000 Pr
0.3133 0.3133 0.0000 Pr
0.3482 0.0000 0.5000 Pr
0.6518 0.6518 0.5000 Pr
0.6867 0.0000 0.0000 Pr
```

---

A plane-wave DFT calculation with GGA-PBE was carried out for a relaxed Mn2TeSeS crystal.

## Properties
Raw formation energy ... 1.546 eV per atom
D(E_F) ... 10.994 states/eV/cell
SG ... P4/mmm (123)

Geometry as POSCAR:
```
Mn2TeSeS
1.0
4.8197 0.0000 0.0000
0.0000 4.8197 0.0000
0.0000 0.0000 5.0293
Mn Te Se S
2 1 1 1
direct
0.0000 0.5000 0.0000 Mn
0.5000 0.0000 0.0000 Mn
0.0000 0.0000 0.0000 Te
0.5000 0.5000 0.5000 Se
0.0000 0.0000 0.5000 S
```

---

Question: What is the D(E_F) in the seventh record?
Answer: 14.779 states/eV/cell